(1)
Ac8HgRu2 after structural relaxation, computed with PBE-GGA.

a = 7.4471 Å, b = 8.6010 Å, c = 8.6010 Å
α = 126.35°, β = 96.17°, γ = 96.17°
Closest atoms and distances in Å follow each position.
Sites, in units of the cell vectors:
Ac1 0.5413 0.3744 0.1268  2 Ru 2.90-3.14
Ac2 0.5413 0.1268 0.3744  2 Ru 2.90-3.14
Ac3 0.0576 0.3211 0.3211  1 Hg 3.20
Ac4 0.9299 0.1593 0.7342  2 Ru 2.90-2.96
Ac5 0.9299 0.7342 0.1593  2 Ru 2.90-2.96
Ac6 0.7698 0.6873 0.6873  2 Ru 3.22, 1 Hg 3.34
Ac7 0.3606 0.8870 0.5845  1 Ru 2.78
Ac8 0.3606 0.5845 0.8870  1 Ru 2.78
Hg1 0.1910 0.9590 0.9590  6 Ac 3.20-3.57
Ru1 0.6589 0.8012 0.3992  4 Ac 2.78-2.96
Ru2 0.6589 0.3992 0.8012  4 Ac 2.78-2.96

Computed properties:
N(E_F) = 1.06 states/eV/atom
formation enthalpy at 0 K = -8.2 kJ per mole of atoms
relative energy among the computed polymorphs = 55 kJ/mol of formula units
crystal system = monoclinic

=====

(2)
RbReS2Cl after structural relaxation, computed with PBE-GGA.

a = 4.6153 Å, b = 4.6153 Å, c = 5.4071 Å
α = 90.00°, β = 90.00°, γ = 90.00°
Closest atoms and distances in Å follow each position.
Sites, in units of the cell vectors:
Re1 0.0000 0.0000 0.0000  4 S 2.31
S1 0.0000 0.5000 0.0000  2 Re 2.31
S2 0.5000 0.0000 0.0000  2 Re 2.31
Rb1 0.5000 0.5000 0.5000  4 Cl 3.26, 8 S 3.55
Cl1 0.0000 0.0000 0.5000  2 Re 2.70

Computed properties:
N(E_F) = 0.20 states/eV/atom
relative energy among the computed polymorphs = 0 kJ/mol of formula units
crystal system = tetragonal

=====

(3)
Fe2SbOs after structural relaxation, computed with PBE-GGA.

a = 3.1493 Å, b = 3.1493 Å, c = 5.8788 Å
α = 90.00°, β = 90.00°, γ = 90.00°
Closest atoms and distances in Å follow each position.
Sites, in units of the cell vectors:
Fe1 0.0000 0.0000 0.0193  4 Fe 2.55, 4 Sb 2.70, 1 Os 2.76
Fe2 0.5000 0.5000 0.2316  4 Fe 2.55, 4 Os 2.69, 1 Sb 2.77
Os1 0.0000 0.0000 0.4886  5 Fe 2.69-2.76, 4 Sb 2.74
Sb1 0.5000 0.5000 0.7605  5 Fe 2.70-2.77, 4 Os 2.74

Computed properties:
DFT total energy = -30.97 eV/cell
N(E_F) = 0.53 states/eV/atom
crystal system = tetragonal

=====

(4)
Ca2Ce2Pb5 after structural relaxation, computed with PBE-GGA.

a = 8.5057 Å, b = 8.5755 Å, c = 8.7887 Å
α = 119.20°, β = 90.00°, γ = 90.00°
Closest atoms and distances in Å follow each position.
Sites, in units of the cell vectors:
Ca1 0.0000 0.2194 0.4388  7 Pb 3.19-3.39
Ca2 0.5000 0.7194 0.4388  7 Pb 3.19-3.39
Ca3 0.0000 0.7806 0.5612  7 Pb 3.19-3.39
Ca4 0.5000 0.2806 0.5612  7 Pb 3.19-3.39
Ce1 0.6142 0.8853 0.0000  1 Ce 2.76
Ce2 0.3858 0.1147 0.0000  1 Ce 2.76
Ce3 0.1142 0.6147 0.0000  1 Ce 2.76
Ce4 0.8858 0.3853 0.0000  1 Ce 2.76
Pb1 0.0000 0.0000 0.0000  2 Ca 3.37, 4 Ce 3.43-3.44, 4 Pb 3.71
Pb2 0.5000 0.5000 0.0000  2 Ca 3.37, 4 Ce 3.43-3.44, 4 Pb 3.71
Pb3 0.8068 0.8237 0.2721  3 Ce 3.15-3.40, 3 Ca 3.19-3.39
Pb4 0.1932 0.4484 0.2721  3 Ce 3.15-3.40, 3 Ca 3.19-3.39
Pb5 0.3068 0.9484 0.2721  3 Ce 3.15-3.40, 3 Ca 3.19-3.39
Pb6 0.6932 0.3237 0.2721  3 Ce 3.15-3.40, 3 Ca 3.19-3.39
Pb7 0.1932 0.1763 0.7279  3 Ce 3.15-3.40, 3 Ca 3.19-3.39
Pb8 0.8068 0.5516 0.7279  3 Ce 3.15-3.40, 3 Ca 3.19-3.39
Pb9 0.6932 0.0516 0.7279  3 Ce 3.15-3.40, 3 Ca 3.19-3.39
Pb10 0.3068 0.6763 0.7279  3 Ce 3.15-3.40, 3 Ca 3.19-3.39

Computed properties:
N(E_F) = 1.38 states/eV/atom
formation enthalpy at 0 K = -30.4 kJ per mole of atoms
crystal system = orthorhombic

=====

(5)
NaFeAs2Se after structural relaxation, computed with PBE-GGA.

a = 4.4319 Å, b = 4.4319 Å, c = 5.5835 Å
α = 90.00°, β = 90.00°, γ = 90.00°
Closest atoms and distances in Å follow each position.
Sites, in units of the cell vectors:
Na1 0.5000 0.5000 0.5000  4 Se 3.13
As1 0.0000 0.5000 0.0000  2 Fe 2.22
As2 0.5000 0.0000 0.0000  2 Fe 2.22
Fe1 0.0000 0.0000 0.0000  4 As 2.22
Se1 0.0000 0.0000 0.5000  2 Fe 2.79

Computed properties:
N(E_F) = 0.87 states/eV/atom
relative energy among the computed polymorphs = 0 kJ/mol of formula units
crystal system = tetragonal

=====

(6)
PrErPt4 after structural relaxation, computed with PBE-GGA.

a = 5.4781 Å, b = 5.4781 Å, c = 5.4781 Å
α = 60.00°, β = 60.00°, γ = 60.00°
Closest atoms and distances in Å follow each position.
Sites, in units of the cell vectors:
Pr1 0.0000 0.0000 0.0000  12 Pt 3.21, 4 Er 3.35
Pt1 0.6245 0.6245 0.1266  6 Pt 2.73-2.75
Pt2 0.6245 0.1266 0.6245  6 Pt 2.73-2.75
Pt3 0.6245 0.6245 0.6245  6 Pt 2.73-2.75
Pt4 0.1266 0.6245 0.6245  6 Pt 2.73-2.75
Er1 0.2500 0.2500 0.2500  12 Pt 3.21, 4 Pr 3.35

Computed properties:
N(E_F) = 0.21 states/eV/atom
formation enthalpy at 0 K = -104.2 kJ per mole of atoms
crystal system = cubic

=====

(7)
Ac2Ga4Pd3 after structural relaxation, computed with PBE-GGA.

a = 6.1828 Å, b = 7.7964 Å, c = 8.4921 Å
α = 90.00°, β = 111.35°, γ = 90.00°
Closest atoms and distances in Å follow each position.
Sites, in units of the cell vectors:
Ac1 0.1180 0.5882 0.2359  4 Pd 3.19-3.49, 8 Ga 3.20-3.41
Ac2 0.8820 0.4118 0.7641  4 Pd 3.19-3.49, 8 Ga 3.20-3.41
Ac3 0.3820 0.0882 0.7641  4 Pd 3.19-3.49, 8 Ga 3.20-3.41
Ac4 0.6180 0.9118 0.2359  4 Pd 3.19-3.49, 8 Ga 3.20-3.41
Ga1 0.6928 0.7500 0.8856  3 Pd 2.65
Ga2 0.8072 0.2500 0.1144  3 Pd 2.65
Ga3 0.3072 0.2500 0.1144  3 Pd 2.65
Ga4 0.1928 0.7500 0.8856  3 Pd 2.65
Ga5 0.1747 0.9985 0.3493  3 Pd 2.62-2.76
Ga6 0.8253 0.0015 0.6507  3 Pd 2.62-2.76
Ga7 0.3253 0.4985 0.6507  3 Pd 2.62-2.76
Ga8 0.6747 0.5015 0.3493  3 Pd 2.62-2.76
Pd1 0.0000 0.0000 0.0000  6 Ga 2.65-2.76
Pd2 0.5000 0.5000 0.0000  6 Ga 2.65-2.76
Pd3 0.5254 0.7500 0.5507  3 Ga 2.62-2.65
Pd4 0.9746 0.2500 0.4493  3 Ga 2.62-2.65
Pd5 0.4746 0.2500 0.4493  3 Ga 2.62-2.65
Pd6 0.0254 0.7500 0.5507  3 Ga 2.62-2.65

Computed properties:
N(E_F) = 0.62 states/eV/atom
formation enthalpy at 0 K = -65.3 kJ per mole of atoms
crystal system = orthorhombic

=====

(8)
LiHgBr2 after structural relaxation, computed with PBE-GGA.

a = 5.8548 Å, b = 5.8548 Å, c = 5.8548 Å
α = 140.41°, β = 100.05°, γ = 93.14°
Closest atoms and distances in Å follow each position.
Sites, in units of the cell vectors:
Br1 0.0384 0.0384 0.0000  2 Li 2.61
Br2 0.4616 0.4616 0.0000  2 Li 2.61
Hg1 0.7500 0.2500 0.5000  4 Br 3.05
Li1 0.2500 0.7500 0.5000  4 Br 2.61

Computed properties:
N(E_F) = 0.56 states/eV/atom
relative energy among the computed polymorphs = 45 kJ/mol of formula units
crystal system = orthorhombic